No. 1
Ni2I3 | PBE | optimized geometry

The structure in POSCAR format:
```
Ni2I3
1.0
3.409 1.968 6.159
-3.409 1.968 6.159
0.000 -3.936 6.159
Ni I
4 6
direct
0.161 0.161 0.161
0.339 0.339 0.339
0.661 0.661 0.661
0.839 0.839 0.839
0.069 0.750 0.431
0.250 0.569 0.931
0.431 0.069 0.750
0.569 0.931 0.250
0.750 0.431 0.069
0.931 0.250 0.569
```

Space group ... No. 167


No. 2
NpNiI2 | PBE | optimized geometry

The structure in POSCAR format:
```
NpNiI2
1.0
1.907 1.101 9.312
-1.907 1.101 9.312
0.000 -2.202 9.312
Np Ni I
1 1 2
direct
0.000 0.000 0.000
0.500 0.500 0.500
0.110 0.110 0.110
0.890 0.890 0.890
```

Space group ... No. 166


No. 3
RbNpNiI6 | PBE | optimized geometry

The structure in POSCAR format:
```
RbNpNiI6
1.0
3.817 -6.603 0.000
3.817 6.603 0.000
-0.003 0.000 8.273
Rb Np Ni I
1 1 1 6
direct
0.000 0.000 0.000
0.333 0.667 0.500
0.666 0.334 0.500
0.378 0.353 0.300
0.379 0.026 0.700
0.647 0.026 0.300
0.647 0.622 0.700
0.974 0.353 0.700
0.974 0.621 0.300
```

Space group ... No. 5


Which density of states at the Fermi level belongs to each record? In order, 1.10; 2.46; 0.96 states/eV/atom.
Which ΔE_f (raw) belongs to each record? In order, 87; 348; -715 meV per atom.